DFT (GGA-PBE) results for a geometry-optimized MgCd structure.

Structure (CIF):
```
data_MgCd
_cell_length_a 5.001
_cell_length_b 3.253
_cell_length_c 15.972
_cell_angle_alpha 90.00
_cell_angle_beta 90.00
_cell_angle_gamma 90.00
_symmetry_space_group_name_H-M 'A m m 2'
_symmetry_Int_Tables_number 38
_symmetry_space_group_name_Hall 'A 2 -2'
loop_
_atom_site_label
_atom_site_type_symbol
_atom_site_fract_x
_atom_site_fract_y
_atom_site_fract_z
Mg1 Mg 0.000 0.000 0.000
Mg2 Mg 0.000 0.000 0.330
Mg3 Mg 0.500 0.000 0.210
Cd1 Cd 0.000 0.000 0.664
Cd2 Cd 0.500 0.000 0.547
Cd3 Cd 0.500 0.000 0.879
```

## Properties
V	43	Å³/f.u.
total magnetic moment	0.00	μB per formula unit
density	5.2	g/cm3
DFT formation energy	-0.08	eV per atom